[1]
SrSe2BrN: optimized geometry, PBE-GGA.

```
data_SrSe2BrN
_symmetry_space_group_name_H-M 'P 4/m m m'
_symmetry_Int_Tables_number 123
_symmetry_space_group_name_Hall '-P 4 2'
_cell_length_a 4.490
_cell_length_b 4.490
_cell_length_c 5.236
_cell_angle_alpha 90.00
_cell_angle_beta 90.00
_cell_angle_gamma 90.00
loop_
_atom_site_label
_atom_site_type_symbol
_atom_site_fract_x
_atom_site_fract_y
_atom_site_fract_z
Sr1 Sr 0.000 0.000 0.000
Se1 Se 0.000 0.500 0.500
Br1 Br 0.500 0.500 0.000
N1 N 0.500 0.500 0.500
```

## Properties
Raw formation energy, eV per atom: -0.1022
Calculated total energy, eV per atom: -3.8321

[2]
TcSe2BrN: optimized geometry, PBE-GGA.

```
data_TcSe2BrN
_symmetry_space_group_name_H-M 'P 4/m m m'
_symmetry_Int_Tables_number 123
_symmetry_space_group_name_Hall '-P 4 2'
_cell_length_a 4.395
_cell_length_b 4.395
_cell_length_c 4.302
_cell_angle_alpha 90.00
_cell_angle_beta 90.00
_cell_angle_gamma 90.00
loop_
_atom_site_label
_atom_site_type_symbol
_atom_site_fract_x
_atom_site_fract_y
_atom_site_fract_z
Tc1 Tc 0.000 0.000 0.000
Se1 Se 0.000 0.500 0.500
Br1 Br 0.500 0.500 0.000
N1 N 0.500 0.500 0.500
```

## Properties
Raw formation energy, eV per atom: 1.4049
Calculated total energy, eV per atom: -4.0617

[3]
TcSe2BrN: optimized geometry, PBE-GGA.

```
data_TcSe2BrN
_symmetry_space_group_name_H-M 'P 4/m m m'
_symmetry_Int_Tables_number 123
_symmetry_space_group_name_Hall '-P 4 2'
_cell_length_a 5.277
_cell_length_b 5.277
_cell_length_c 3.659
_cell_angle_alpha 90.00
_cell_angle_beta 90.00
_cell_angle_gamma 90.00
loop_
_atom_site_label
_atom_site_type_symbol
_atom_site_fract_x
_atom_site_fract_y
_atom_site_fract_z
Tc1 Tc 0.000 0.000 0.000
Se1 Se 0.000 0.500 0.500
Br1 Br 0.500 0.500 0.500
N1 N 0.500 0.500 0.000
```

## Properties
Raw formation energy, eV per atom: 1.8454
Calculated total energy, eV per atom: -3.6212

[4]
TcSe2BrN: optimized geometry, PBE-GGA.

```
data_TcSe2BrN
_symmetry_space_group_name_H-M 'P 4/m m m'
_symmetry_Int_Tables_number 123
_symmetry_space_group_name_Hall '-P 4 2'
_cell_length_a 5.079
_cell_length_b 5.079
_cell_length_c 3.755
_cell_angle_alpha 90.00
_cell_angle_beta 90.00
_cell_angle_gamma 90.00
loop_
_atom_site_label
_atom_site_type_symbol
_atom_site_fract_x
_atom_site_fract_y
_atom_site_fract_z
Tc1 Tc 0.000 0.000 0.000
Se1 Se 0.000 0.500 0.000
Br1 Br 0.500 0.500 0.500
N1 N 0.000 0.000 0.500
```

## Properties
Raw formation energy, eV per atom: 0.4098
Calculated total energy, eV per atom: -5.0568

[5]
TcSe2BrN: optimized geometry, PBE-GGA.

```
data_TcSe2BrN
_symmetry_space_group_name_H-M 'P 4/m m m'
_symmetry_Int_Tables_number 123
_symmetry_space_group_name_Hall '-P 4 2'
_cell_length_a 4.750
_cell_length_b 4.750
_cell_length_c 5.306
_cell_angle_alpha 90.00
_cell_angle_beta 90.00
_cell_angle_gamma 90.00
loop_
_atom_site_label
_atom_site_type_symbol
_atom_site_fract_x
_atom_site_fract_y
_atom_site_fract_z
Tc1 Tc 0.000 0.000 0.000
Se1 Se 0.000 0.500 0.000
Br1 Br 0.000 0.000 0.500
N1 N 0.500 0.500 0.500
```

## Properties
Raw formation energy, eV per atom: 1.4623
Calculated total energy, eV per atom: -4.0044

[6]
TeSeBr2N: optimized geometry, PBE-GGA.

```
data_TeSeBr2N
_symmetry_space_group_name_H-M 'P 4/m m m'
_symmetry_Int_Tables_number 123
_symmetry_space_group_name_Hall '-P 4 2'
_cell_length_a 4.501
_cell_length_b 4.501
_cell_length_c 5.184
_cell_angle_alpha 90.00
_cell_angle_beta 90.00
_cell_angle_gamma 90.00
loop_
_atom_site_label
_atom_site_type_symbol
_atom_site_fract_x
_atom_site_fract_y
_atom_site_fract_z
Te1 Te 0.000 0.000 0.000
Se1 Se 0.500 0.500 0.000
Br1 Br 0.000 0.500 0.500
N1 N 0.500 0.500 0.500
```

## Properties
Raw formation energy, eV per atom: 0.9928
Calculated total energy, eV per atom: -2.6667

[7]
TeSe2BrN: optimized geometry, PBE-GGA.

```
data_TeSe2BrN
_symmetry_space_group_name_H-M 'P 4/m m m'
_symmetry_Int_Tables_number 123
_symmetry_space_group_name_Hall '-P 4 2'
_cell_length_a 5.414
_cell_length_b 5.414
_cell_length_c 5.694
_cell_angle_alpha 90.00
_cell_angle_beta 90.00
_cell_angle_gamma 90.00
loop_
_atom_site_label
_atom_site_type_symbol
_atom_site_fract_x
_atom_site_fract_y
_atom_site_fract_z
Te1 Te 0.000 0.000 0.000
Se1 Se 0.000 0.500 0.000
Br1 Br 0.000 0.000 0.500
N1 N 0.500 0.500 0.500
```

## Properties
Raw formation energy, eV per atom: 1.3297
Calculated total energy, eV per atom: -2.6921

[8]
TeSeBr2N: optimized geometry, PBE-GGA.

```
data_TeSeBr2N
_symmetry_space_group_name_H-M 'P 4/m m m'
_symmetry_Int_Tables_number 123
_symmetry_space_group_name_Hall '-P 4 2'
_cell_length_a 5.657
_cell_length_b 5.657
_cell_length_c 5.308
_cell_angle_alpha 90.00
_cell_angle_beta 90.00
_cell_angle_gamma 90.00
loop_
_atom_site_label
_atom_site_type_symbol
_atom_site_fract_x
_atom_site_fract_y
_atom_site_fract_z
Te1 Te 0.000 0.000 0.000
Se1 Se 0.000 0.000 0.500
Br1 Br 0.000 0.500 0.000
N1 N 0.500 0.500 0.500
```

## Properties
Raw formation energy, eV per atom: 1.0752
Calculated total energy, eV per atom: -2.5843

[9]
TeSe2BrN: optimized geometry, PBE-GGA.

```
data_TeSe2BrN
_symmetry_space_group_name_H-M 'P 4/m m m'
_symmetry_Int_Tables_number 123
_symmetry_space_group_name_Hall '-P 4 2'
_cell_length_a 5.550
_cell_length_b 5.550
_cell_length_c 3.984
_cell_angle_alpha 90.00
_cell_angle_beta 90.00
_cell_angle_gamma 90.00
loop_
_atom_site_label
_atom_site_type_symbol
_atom_site_fract_x
_atom_site_fract_y
_atom_site_fract_z
Te1 Te 0.000 0.000 0.000
Se1 Se 0.000 0.500 0.000
Br1 Br 0.500 0.500 0.500
N1 N 0.000 0.000 0.500
```

## Properties
Raw formation energy, eV per atom: 1.0801
Calculated total energy, eV per atom: -2.9417

[10]
TeSe2BrN: optimized geometry, PBE-GGA.

```
data_TeSe2BrN
_symmetry_space_group_name_H-M 'P 4/m m m'
_symmetry_Int_Tables_number 123
_symmetry_space_group_name_Hall '-P 4 2'
_cell_length_a 4.708
_cell_length_b 4.708
_cell_length_c 4.463
_cell_angle_alpha 90.00
_cell_angle_beta 90.00
_cell_angle_gamma 90.00
loop_
_atom_site_label
_atom_site_type_symbol
_atom_site_fract_x
_atom_site_fract_y
_atom_site_fract_z
Te1 Te 0.000 0.000 0.000
Se1 Se 0.000 0.500 0.500
Br1 Br 0.500 0.500 0.000
N1 N 0.500 0.500 0.500
```

## Properties
Raw formation energy, eV per atom: 0.9404
Calculated total energy, eV per atom: -3.0814

[11]
TeSe2BrN: optimized geometry, PBE-GGA.

```
data_TeSe2BrN
_symmetry_space_group_name_H-M 'P 4/m m m'
_symmetry_Int_Tables_number 123
_symmetry_space_group_name_Hall '-P 4 2'
_cell_length_a 5.404
_cell_length_b 5.404
_cell_length_c 3.818
_cell_angle_alpha 90.00
_cell_angle_beta 90.00
_cell_angle_gamma 90.00
loop_
_atom_site_label
_atom_site_type_symbol
_atom_site_fract_x
_atom_site_fract_y
_atom_site_fract_z
Te1 Te 0.000 0.000 0.000
Se1 Se 0.000 0.500 0.500
Br1 Br 0.500 0.500 0.500
N1 N 0.500 0.500 0.000
```

## Properties
Raw formation energy, eV per atom: 1.3939
Calculated total energy, eV per atom: -2.6279

[12]
TiSe2BrN: optimized geometry, PBE-GGA.

```
data_TiSe2BrN
_symmetry_space_group_name_H-M 'P 4/m m m'
_symmetry_Int_Tables_number 123
_symmetry_space_group_name_Hall '-P 4 2'
_cell_length_a 4.523
_cell_length_b 4.523
_cell_length_c 4.333
_cell_angle_alpha 90.00
_cell_angle_beta 90.00
_cell_angle_gamma 90.00
loop_
_atom_site_label
_atom_site_type_symbol
_atom_site_fract_x
_atom_site_fract_y
_atom_site_fract_z
Ti1 Ti 0.000 0.000 0.000
Se1 Se 0.000 0.500 0.500
Br1 Br 0.500 0.500 0.000
N1 N 0.500 0.500 0.500
```

## Properties
Raw formation energy, eV per atom: 0.7345
Calculated total energy, eV per atom: -4.2380

Copy entry 3 word for word.
TcSe2BrN: optimized geometry, PBE-GGA.

```
data_TcSe2BrN
_symmetry_space_group_name_H-M 'P 4/m m m'
_symmetry_Int_Tables_number 123
_symmetry_space_group_name_Hall '-P 4 2'
_cell_length_a 5.277
_cell_length_b 5.277
_cell_length_c 3.659
_cell_angle_alpha 90.00
_cell_angle_beta 90.00
_cell_angle_gamma 90.00
loop_
_atom_site_label
_atom_site_type_symbol
_atom_site_fract_x
_atom_site_fract_y
_atom_site_fract_z
Tc1 Tc 0.000 0.000 0.000
Se1 Se 0.000 0.500 0.500
Br1 Br 0.500 0.500 0.500
N1 N 0.500 0.500 0.000
```

## Properties
Raw formation energy, eV per atom: 1.8454
Calculated total energy, eV per atom: -3.6212

> Which formula does entry 9 have?

TeSe2BrN

> The highest calculated total energy belongs to which entry?

number 8

> Which formula does entry 8 have?

TeSeBr2N